{
  "formula": "TlW2F8",
  "functional": "GGA+U",
  "state": "relaxed",
  "rho_g_cm3": 6.82,
  "volume_a3_per_atom": 16.0,
  "total_energy_ev_per_atom": -5.1662,
  "lattice": [[6.159, 0.171, 0.009], [-0.030, 5.070, -2.328], [0.094, 0.150, 5.576]],
  "species": ["Tl", "W", "W", "F", "F", "F", "F", "F", "F", "F", "F"],
  "frac_coords": [[0.029, 0.035, 0.035], [0.568, 0.650, 0.331], [0.568, 0.331, 0.650], [0.392, 0.988, 0.611], [0.392, 0.611, 0.988], [0.699, 0.702, 0.702], [0.885, 0.246, 0.648], [0.885, 0.648, 0.246], [0.321, 0.450, 0.450], [0.630, 0.286, 0.018], [0.630, 0.018, 0.286]]
}